Computed, not measured: an optimized crystal structure of TaZn2Co at the PBEsol level of DFT.

a = 4.222 Å, b = 4.222 Å, c = 4.222 Å
α = 60.00°, β = 60.00°, γ = 60.00°
Each line ends with the local moment (μB).
Element x y z (fractional)
Co1 0.000 0.000 0.000  0.30
Ta1 0.500 0.500 0.500  0.00
Zn1 0.750 0.750 0.750  -0.01
Zn2 0.250 0.250 0.250  -0.01

Properties
For the density, the calculation gives 11.57 Mg/m³. The crystal system is cubic. Its volume is 13.300 A^3/atom. The formation energy is 0.15 eV per atom. The size of the total moment is 0.070 μB/atom.